(1)
Computed, not measured: an optimized crystal structure of BiAuSO at the PBE-GGA level of DFT.

Computed properties:
E above lowest polymorph: 0 meV per atom
crystal system: monoclinic

a b c (Å): 9.130 5.735 5.724
angles (deg): 90.00 92.16 90.00
Space group P2_1/c (No. 14)
Symmetry-distinct sites (fractional):
Bi 0.135 0.001 0.270 (multiplicity 4)
Au 0.500 0.249 0.248 (multiplicity 4)
S 0.290 0.002 0.744 (multiplicity 4)
O 0.000 0.246 0.500 (multiplicity 4)



(2)
Computed, not measured: an optimized crystal structure of BiAuSO at the PBE-GGA level of DFT.

Computed properties:
E above lowest polymorph: 130 meV per atom
crystal system: tetragonal

a b c (Å): 3.961 3.961 9.168
angles (deg): 90.00 90.00 90.00
Space group P4/nmm (No. 129, origin choice 2)
Symmetry-distinct sites (fractional):
Bi 0.250 0.250 0.138 (multiplicity 2)
Au 0.250 0.750 0.500 (multiplicity 2)
S 0.250 0.250 0.706 (multiplicity 2)
O 0.250 0.750 0.000 (multiplicity 2)



(3)
Computed, not measured: an optimized crystal structure of BiAuSO at the PBE-GGA level of DFT.

Computed properties:
E above lowest polymorph: 378 meV per atom
crystal system: orthorhombic

a b c (Å): 7.105 8.610 5.985
angles (deg): 90.00 90.00 90.00
Space group Pca2_1 (No. 29)
Symmetry-distinct sites (fractional):
Bi 0.042 0.204 0.000 (multiplicity 4)
Au 0.181 0.654 0.994 (multiplicity 4)
S 0.065 0.169 0.551 (multiplicity 4)
O 0.036 0.564 0.474 (multiplicity 4)